{"formula": "DyCrO4", "functional": "PBE+U", "state": "relaxed", "cell": [[0.0000, 5.0539, 5.1185], [3.1492, 0.0000, 5.1185], [3.1492, 5.0539, 0.0000]], "species": ["Dy", "Dy", "Cr", "Cr", "O", "O", "O", "O", "O", "O", "O", "O"], "frac_coords": [[0.1250, 0.1250, 0.1250], [0.8750, 0.8750, 0.8750], [0.3750, 0.3750, 0.3750], [0.6250, 0.6250, 0.6250], [0.1877, 0.7345, 0.3688], [0.2089, 0.3688, 0.7345], [0.2655, 0.8123, 0.7911], [0.3688, 0.2089, 0.1877], [0.6312, 0.7911, 0.8123], [0.7345, 0.1877, 0.2089], [0.7911, 0.6312, 0.2655], [0.8123, 0.2655, 0.6312]], "final_energy_ev_per_atom": -7.660, "spacegroup": "Fddd"}